Compound: SrB2Pd3
Source: the Open Quantum Materials Database
Functional: PBE
Structure: relaxed

- electronic total energy (eV per atom) = -5.4000

The structure in POSCAR format:
```
SrB2Pd3
1.0
5.5813 0.0000 0.0000
-2.7906 4.8335 0.0000
0.0000 0.0000 3.2568
Sr B Pd
1 2 3
Cartesian
0.0000 0.0000 0.0000
0.0000 3.2224 0.0000
2.7906 1.6112 0.0000
-1.3953 2.4168 1.6284
2.7906 0.0000 1.6284
1.3953 2.4168 1.6284
```

---

Compound: Sr3B7Pd2
Source: the Open Quantum Materials Database
Functional: PBE
Structure: relaxed

- electronic total energy (eV per atom) = -5.0795

The structure in POSCAR format:
```
Sr3B7Pd2
1.0
2.6401 1.5242 6.5947
-2.6401 1.5242 6.5947
0.0000 -3.0485 6.5947
Sr B Pd
3 7 2
Cartesian
0.0000 0.0000 0.0000
0.0000 0.0000 2.8845
0.0000 0.0000 16.8995
-0.8521 -0.4920 8.2095
0.0000 -0.9839 11.5745
-0.8521 0.4920 11.5745
0.0000 0.0000 9.8920
0.8521 -0.4920 8.2095
0.0000 0.9839 8.2095
0.8521 0.4920 11.5745
0.0000 0.0000 5.8660
0.0000 0.0000 13.9180
```

---

Compound: SrBPd
Source: the Open Quantum Materials Database
Functional: PBE
Structure: relaxed

- electronic total energy (eV per atom) = -3.3275
- ΔE to the lowest computed polymorph (eV/atom) = 0.6995

The structure in POSCAR format:
```
SrBPd
1.0
0.0000 3.3378 3.3378
3.3378 0.0000 3.3378
3.3378 3.3378 0.0000
Sr B Pd
1 1 1
Cartesian
0.0000 0.0000 0.0000
5.0066 5.0066 5.0066
1.6689 1.6689 1.6689
```

---

Compound: Sr3B8Pd
Source: the Open Quantum Materials Database
Functional: PBE
Structure: relaxed

- electronic total energy (eV per atom) = -5.2885

The structure in POSCAR format:
```
Sr3B8Pd
1.0
2.4751 1.4290 9.9300
-2.4751 1.4290 9.9300
0.0000 -2.8580 9.9300
Sr B Pd
3 8 1
Cartesian
0.0000 0.0000 0.0000
0.0000 0.0000 6.5125
0.0000 0.0000 23.2774
-0.8603 -0.4967 9.1095
0.0000 0.0000 10.6681
0.8603 -0.4967 9.1095
0.0000 0.9933 9.1095
0.0000 -0.9933 20.6804
-0.8603 0.4967 20.6804
0.0000 0.0000 19.1218
0.8603 0.4967 20.6804
0.0000 0.0000 14.8950
```

---

Compound: SrBPd
Source: the Open Quantum Materials Database
Functional: PBE
Structure: relaxed

- electronic total energy (eV per atom) = -3.8257
- ΔE to the lowest computed polymorph (eV/atom) = 0.2013

The structure in POSCAR format:
```
SrBPd
1.0
0.0000 3.2012 3.2012
3.2012 0.0000 3.2012
3.2012 3.2012 0.0000
Sr B Pd
1 1 1
Cartesian
0.0000 0.0000 0.0000
3.2012 3.2012 3.2012
1.6006 1.6006 1.6006
```

---

Compound: SrBPd2
Source: the Open Quantum Materials Database
Functional: PBE
Structure: relaxed

- electronic total energy (eV per atom) = -4.9910

The structure in POSCAR format:
```
SrBPd2
1.0
2.8230 1.6299 7.3851
-2.8230 1.6299 7.3851
0.0000 -3.2597 7.3851
Sr B Pd
3 3 6
Cartesian
0.0000 0.0000 0.0000
0.0000 0.0000 3.2027
0.0000 0.0000 18.9527
0.0000 0.0000 7.2773
0.0000 0.0000 11.0777
0.0000 0.0000 14.8781
-1.3820 -0.7979 8.8902
0.0000 -1.5958 13.2652
-1.3820 0.7979 13.2652
1.3820 -0.7979 8.8902
0.0000 1.5957 8.8902
1.3820 0.7979 13.2652
```

---

Compound: Ta2BPd
Source: the Open Quantum Materials Database
Functional: PBE
Structure: relaxed

- electronic total energy (eV per atom) = -8.1684

The structure in POSCAR format:
```
Ta2BPd
1.0
0.0000 3.1160 3.1160
3.1160 0.0000 3.1160
3.1160 3.1160 0.0000
Ta B Pd
2 1 1
Cartesian
0.0000 0.0000 0.0000
1.5580 1.5580 1.5580
3.1160 3.1160 3.1160
4.6740 4.6740 4.6740
```

---

Compound: TaB4Pd2
Source: the Open Quantum Materials Database
Functional: PBE
Structure: relaxed

- electronic total energy (eV per atom) = -7.3009

The structure in POSCAR format:
```
TaB4Pd2
1.0
-1.5587 1.6884 6.6272
1.5587 -1.6884 6.6272
1.5587 1.6884 -6.6272
Ta B Pd
1 4 2
Cartesian
0.0000 0.0000 0.0000
1.5587 0.0000 4.8617
0.0000 0.0000 5.7185
0.0000 0.0000 7.5360
0.0000 1.6884 1.7656
1.5587 0.0000 2.4938
0.0000 1.6884 4.1335
```

---

Compound: TbB4Pd
Source: the Open Quantum Materials Database
Functional: PBE
Structure: relaxed

- electronic total energy (eV per atom) = -6.3075
- ΔE to the lowest computed polymorph (eV/atom) = 0.0000

The structure in POSCAR format:
```
TbB4Pd
1.0
-1.5792 2.6671 3.8680
1.5792 -2.6671 3.8680
1.5792 2.6671 -3.8680
Tb B Pd
1 4 1
Cartesian
0.0000 0.0000 0.0000
1.5792 -0.9370 1.8793
1.5792 0.9370 1.8793
0.0000 1.7301 1.9886
0.0000 3.6041 1.9886
0.0000 0.0000 3.8680
```

---

Compound: TbBPd
Source: the Open Quantum Materials Database
Functional: PBE
Structure: relaxed

- electronic total energy (eV per atom) = -5.2481
- ΔE to the lowest computed polymorph (eV/atom) = 0.3686

The structure in POSCAR format:
```
TbBPd
1.0
0.0000 3.0637 3.0637
3.0637 0.0000 3.0637
3.0637 3.0637 0.0000
Tb B Pd
1 1 1
Cartesian
0.0000 0.0000 0.0000
3.0637 3.0637 3.0637
4.5955 4.5955 4.5955
```

---

Compound: TbBPd
Source: the Open Quantum Materials Database
Functional: PBE
Structure: relaxed

- electronic total energy (eV per atom) = -5.6167
- ΔE to the lowest computed polymorph (eV/atom) = 0.0000

The structure in POSCAR format:
```
TbBPd
1.0
0.0000 2.9705 2.9705
2.9705 0.0000 2.9705
2.9705 2.9705 0.0000
Tb B Pd
1 1 1
Cartesian
0.0000 0.0000 0.0000
4.4557 4.4557 4.4557
2.9705 2.9705 2.9705
```

---

Compound: TbB4Pd
Source: the Open Quantum Materials Database
Functional: PBE
Structure: relaxed

- electronic total energy (eV per atom) = -6.2887
- ΔE to the lowest computed polymorph (eV/atom) = 0.0187

The structure in POSCAR format:
```
TbB4Pd
1.0
3.2214 0.0000 0.0000
-1.6107 2.7898 0.0000
0.0000 0.0000 6.9761
Tb B Pd
1 4 1
Cartesian
0.0000 0.0000 0.0000
0.0000 1.8599 1.8860
0.0000 1.8599 5.0902
1.6107 0.9299 1.8860
1.6107 0.9299 5.0902
0.0000 0.0000 3.4881
```

---

Compound: TcBPd2
Source: the Open Quantum Materials Database
Functional: PBE
Structure: relaxed

- electronic total energy (eV per atom) = -6.3451

The structure in POSCAR format:
```
TcBPd2
1.0
0.0000 2.9706 2.9706
2.9706 0.0000 2.9706
2.9706 2.9706 0.0000
Tc B Pd
1 1 2
Cartesian
0.0000 0.0000 0.0000
4.4559 4.4559 4.4559
1.4853 1.4853 1.4853
2.9706 2.9706 2.9706
```

---

Compound: TcBPd
Source: the Open Quantum Materials Database
Functional: PBE
Structure: relaxed

- electronic total energy (eV per atom) = -6.4100
- ΔE to the lowest computed polymorph (eV/atom) = 0.0000

The structure in POSCAR format:
```
TcBPd
1.0
0.0000 2.8086 2.8086
2.8086 0.0000 2.8086
2.8086 2.8086 0.0000
Tc B Pd
1 1 1
Cartesian
0.0000 0.0000 0.0000
4.2129 4.2129 4.2129
1.4043 1.4043 1.4043
```

---

Compound: TcB4Pd
Source: the Open Quantum Materials Database
Functional: PBE
Structure: relaxed

- electronic total energy (eV per atom) = -6.8915
- ΔE to the lowest computed polymorph (eV/atom) = 0.0267

The structure in POSCAR format:
```
TcB4Pd
1.0
-1.4967 2.6916 3.3509
1.4967 -2.6916 3.3509
1.4967 2.6916 -3.3509
Tc B Pd
1 4 1
Cartesian
0.0000 0.0000 0.0000
1.4967 -0.8960 1.6471
1.4967 0.8960 1.6471
0.0000 1.7955 1.7038
0.0000 3.5876 1.7038
0.0000 0.0000 3.3509
```

---

Compound: TcB4Pd
Source: the Open Quantum Materials Database
Functional: PBE
Structure: relaxed

- electronic total energy (eV per atom) = -6.9182
- ΔE to the lowest computed polymorph (eV/atom) = 0.0000

The structure in POSCAR format:
```
TcB4Pd
1.0
2.9922 0.0000 0.0000
-1.4961 2.5914 0.0000
0.0000 0.0000 7.0481
Tc B Pd
1 4 1
Cartesian
0.0000 0.0000 0.0000
0.0000 1.7276 1.6562
0.0000 1.7276 5.3919
1.4961 0.8638 1.6562
1.4961 0.8638 5.3919
0.0000 0.0000 3.5241
```

---

Compound: Tc2BPd
Source: the Open Quantum Materials Database
Functional: PBE
Structure: relaxed

- electronic total energy (eV per atom) = -7.5134

The structure in POSCAR format:
```
Tc2BPd
1.0
0.0000 2.9767 2.9767
2.9767 0.0000 2.9767
2.9767 2.9767 0.0000
Tc B Pd
2 1 1
Cartesian
0.0000 0.0000 0.0000
1.4883 1.4883 1.4883
4.4650 4.4650 4.4650
2.9767 2.9767 2.9767
```

---

Compound: BTePd
Source: the Open Quantum Materials Database
Functional: PBE
Structure: relaxed

- electronic total energy (eV per atom) = -4.2957
- ΔE to the lowest computed polymorph (eV/atom) = 0.0000

The structure in POSCAR format:
```
BTePd
1.0
0.0000 2.9362 2.9362
2.9362 0.0000 2.9362
2.9362 2.9362 0.0000
B Te Pd
1 1 1
Cartesian
0.0000 0.0000 0.0000
1.4681 1.4681 1.4681
4.4043 4.4043 4.4043
```

---

Compound: ThBPd
Source: the Open Quantum Materials Database
Functional: PBE
Structure: relaxed

- electronic total energy (eV per atom) = -6.6249
- ΔE to the lowest computed polymorph (eV/atom) = 0.0000

The structure in POSCAR format:
```
ThBPd
1.0
0.0000 3.0635 3.0635
3.0635 0.0000 3.0635
3.0635 3.0635 0.0000
Th B Pd
1 1 1
Cartesian
0.0000 0.0000 0.0000
4.5953 4.5953 4.5953
3.0635 3.0635 3.0635
```

---

Compound: ThBPd
Source: the Open Quantum Materials Database
Functional: PBE
Structure: relaxed

- electronic total energy (eV per atom) = -6.2183
- ΔE to the lowest computed polymorph (eV/atom) = 0.4066

The structure in POSCAR format:
```
ThBPd
1.0
0.0000 3.1608 3.1608
3.1608 0.0000 3.1608
3.1608 3.1608 0.0000
Th B Pd
1 1 1
Cartesian
0.0000 0.0000 0.0000
3.1608 3.1608 3.1608
4.7412 4.7412 4.7412
```

---

Compound: ThB4Pd
Source: the Open Quantum Materials Database
Functional: PBE
Structure: relaxed

- electronic total energy (eV per atom) = -6.6768
- ΔE to the lowest computed polymorph (eV/atom) = 0.0038

The structure in POSCAR format:
```
ThB4Pd
1.0
3.2435 0.0000 0.0000
-1.6217 2.8089 0.0000
0.0000 0.0000 7.3257
Th B Pd
1 4 1
Cartesian
0.0000 0.0000 0.0000
0.0000 1.8726 2.0481
0.0000 1.8726 5.2776
1.6217 0.9363 2.0481
1.6217 0.9363 5.2776
0.0000 0.0000 3.6628
```

---

Compound: ThB4Pd
Source: the Open Quantum Materials Database
Functional: PBE
Structure: relaxed

- electronic total energy (eV per atom) = -6.6806
- ΔE to the lowest computed polymorph (eV/atom) = 0.0000

The structure in POSCAR format:
```
ThB4Pd
1.0
-1.5947 2.6647 4.2139
1.5947 -2.6647 4.2139
1.5947 2.6647 -4.2139
Th B Pd
1 4 1
Cartesian
0.0000 0.0000 0.0000
1.5947 -0.9680 2.0227
1.5947 0.9680 2.0227
0.0000 1.6968 2.1912
0.0000 3.6327 2.1912
0.0000 0.0000 4.2139
```

---

Compound: TlB4Pd
Source: the Open Quantum Materials Database
Functional: PBE
Structure: relaxed

- electronic total energy (eV per atom) = -5.1255
- ΔE to the lowest computed polymorph (eV/atom) = 0.1491

The structure in POSCAR format:
```
TlB4Pd
1.0
-1.4741 2.7255 4.2490
1.4741 -2.7255 4.2490
1.4741 2.7255 -4.2490
Tl B Pd
1 4 1
Cartesian
0.0000 0.0000 0.0000
1.4741 -0.8533 2.2304
1.4741 0.8533 2.2304
0.0000 1.8722 2.0185
0.0000 3.5788 2.0185
0.0000 0.0000 4.2490
```

---

Compound: TlB4Pd
Source: the Open Quantum Materials Database
Functional: PBE
Structure: relaxed

- electronic total energy (eV per atom) = -5.2746
- ΔE to the lowest computed polymorph (eV/atom) = 0.0000

The structure in POSCAR format:
```
TlB4Pd
1.0
3.0626 0.0000 0.0000
-1.5313 2.6523 0.0000
0.0000 0.0000 8.8551
Tl B Pd
1 4 1
Cartesian
0.0000 0.0000 0.0000
0.0000 1.7682 2.6971
0.0000 1.7682 6.1580
1.5313 0.8841 2.6971
1.5313 0.8841 6.1580
0.0000 0.0000 4.4275
```

---

Compound: TmBPd
Source: the Open Quantum Materials Database
Functional: PBE
Structure: relaxed

- electronic total energy (eV per atom) = -5.2486
- ΔE to the lowest computed polymorph (eV/atom) = 0.3843

The structure in POSCAR format:
```
TmBPd
1.0
0.0000 3.0214 3.0214
3.0214 0.0000 3.0214
3.0214 3.0214 0.0000
Tm B Pd
1 1 1
Cartesian
0.0000 0.0000 0.0000
3.0214 3.0214 3.0214
4.5320 4.5320 4.5320
```

---

Compound: TmB4Pd
Source: the Open Quantum Materials Database
Functional: PBE
Structure: relaxed

- electronic total energy (eV per atom) = -6.3539
- ΔE to the lowest computed polymorph (eV/atom) = 0.0000

The structure in POSCAR format:
```
TmB4Pd
1.0
-1.5765 2.6608 3.7481
1.5765 -2.6608 3.7481
1.5765 2.6608 -3.7481
Tm B Pd
1 4 1
Cartesian
0.0000 0.0000 0.0000
1.5765 -0.9356 1.8114
1.5765 0.9356 1.8114
0.0000 1.7252 1.9367
0.0000 3.5964 1.9367
0.0000 0.0000 3.7481
```

---

Compound: TmBPd
Source: the Open Quantum Materials Database
Functional: PBE
Structure: relaxed

- electronic total energy (eV per atom) = -5.6329
- ΔE to the lowest computed polymorph (eV/atom) = 0.0000

The structure in POSCAR format:
```
TmBPd
1.0
0.0000 2.9220 2.9220
2.9220 0.0000 2.9220
2.9220 2.9220 0.0000
Tm B Pd
1 1 1
Cartesian
0.0000 0.0000 0.0000
1.4610 1.4610 1.4610
2.9220 2.9220 2.9220
```

---

Compound: TmB4Pd
Source: the Open Quantum Materials Database
Functional: PBE
Structure: relaxed

- electronic total energy (eV per atom) = -6.3287
- ΔE to the lowest computed polymorph (eV/atom) = 0.0251

The structure in POSCAR format:
```
TmB4Pd
1.0
3.1985 0.0000 0.0000
-1.5992 2.7699 0.0000
0.0000 0.0000 6.8714
Tm B Pd
1 4 1
Cartesian
0.0000 0.0000 0.0000
0.0000 1.8466 1.8123
0.0000 1.8466 5.0591
1.5992 0.9233 1.8123
1.5992 0.9233 5.0591
0.0000 0.0000 3.4357
```